{
  "formula": "CaH8Rh2",
  "functional": "PBE",
  "state": "optimized geometry",
  "rho_g_cm3": 4.997,
  "e_above_lowest_polymorph_mev_per_atom": 0,
  "cell": [[3.728, 0.211, 0.317], [-0.323, 4.964, -0.097], [-0.323, -2.001, 4.544]],
  "species": ["Rh", "Rh", "H", "H", "H", "H", "H", "H", "H", "H", "Ca"],
  "frac_coords": [[0.000, 0.678, 0.322], [0.000, 0.322, 0.678], [0.757, 0.478, 0.478], [0.500, 0.693, 0.307], [0.991, 0.964, 0.677], [0.991, 0.677, 0.964], [0.243, 0.522, 0.522], [0.500, 0.307, 0.693], [0.009, 0.323, 0.036], [0.009, 0.036, 0.323], [0.500, 0.000, 0.000]]
}


{
  "formula": "Rb2HoBiS4",
  "functional": "PBE",
  "state": "optimized geometry",
  "e_form_raw_kj_per_mol_atoms": -127.1,
  "rho_g_cm3": 4.911,
  "cell": [[-1.456, 1.909, 3.351], [-5.081, -5.035, 0.659], [6.375, -2.516, 4.203]],
  "species": ["Ho", "Rb", "Rb", "Bi", "S", "S", "S", "S"],
  "frac_coords": [[0.500, 0.500, 0.000], [0.000, 0.500, 0.500], [0.500, 0.000, 0.500], [0.000, 0.000, 0.000], [0.000, 0.278, 0.807], [0.500, 0.758, 0.803], [0.000, 0.722, 0.193], [0.500, 0.242, 0.197]]
}


{
  "formula": "La2RhCl",
  "functional": "PBE",
  "state": "optimized geometry",
  "e_form_raw_kj_per_mol_atoms": -124.1,
  "rho_g_cm3": 6.024,
  "e_above_lowest_polymorph_mev_per_atom": 0,
  "cell": [[4.151, 0.004, -0.003], [2.072, 3.597, -0.003], [2.081, 1.204, 7.684]],
  "species": ["La", "La", "Rh", "Cl"],
  "frac_coords": [[0.485, 0.485, 0.545], [0.015, 0.015, 0.955], [0.750, 0.750, 0.750], [0.250, 0.250, 0.250]]
}


{
  "formula": "KScMn2",
  "functional": "PBE",
  "state": "optimized geometry",
  "rho_g_cm3": 3.187,
  "e_above_lowest_polymorph_mev_per_atom": 134,
  "cell": [[-2.881, 1.946, -0.097], [-1.939, -2.881, -0.210], [-0.474, -0.287, 8.332]],
  "species": ["Mn", "Mn", "K", "Sc"],
  "frac_coords": [[0.000, 0.000, 0.417], [0.000, 0.000, 0.083], [0.500, 0.500, 0.750], [0.500, 0.500, 0.250]]
}


{
  "formula": "CeRhI2",
  "functional": "PBE",
  "state": "optimized geometry",
  "e_form_raw_kj_per_mol_atoms": 6.7,
  "rho_g_cm3": 6.476,
  "cell": [[-1.259, 2.702, -2.634], [-3.461, -0.526, -1.888], [-5.976, 5.297, 5.287]],
  "species": ["I", "I", "Ce", "Rh"],
  "frac_coords": [[0.889, 0.889, 0.334], [0.111, 0.111, 0.666], [0.000, 0.000, 0.000], [0.500, 0.500, 0.500]]
}


{
  "formula": "BaCoSe2",
  "functional": "PBE",
  "state": "optimized geometry",
  "e_form_raw_kj_per_mol_atoms": -80.5,
  "rho_g_cm3": 5.890,
  "cell": [[-0.890, 4.471, -3.214], [-3.168, -2.516, -3.840], [-0.072, 1.408, 5.396]],
  "species": ["Se", "Se", "Ba", "Co"],
  "frac_coords": [[0.076, 0.076, 0.000], [0.424, 0.424, 0.000], [0.750, 0.250, 0.500], [0.250, 0.750, 0.500]]
}


{
  "formula": "TaReRu",
  "functional": "PBE",
  "state": "optimized geometry",
  "rho_g_cm3": 13.999,
  "e_above_lowest_polymorph_mev_per_atom": 800,
  "cell": [[4.283, 0.000, 0.000], [2.141, 3.709, 0.000], [2.141, 1.236, 3.497]],
  "species": ["Ta", "Ru", "Re"],
  "frac_coords": [[0.750, 0.750, 0.750], [0.500, 0.500, 0.500], [0.000, 0.000, 0.000]]
}


{
  "formula": "Hf5In6",
  "functional": "PBE",
  "state": "optimized geometry",
  "energy_ev_per_atom": -5.92,
  "rho_g_cm3": 10.246,
  "cell": [[5.803, 0.000, 0.610], [2.902, 5.871, 0.305], [2.453, 0.000, 7.780]],
  "species": ["In", "In", "In", "In", "In", "In", "Hf", "Hf", "Hf", "Hf", "Hf"],
  "frac_coords": [[0.812, 0.000, 0.696], [0.992, 0.726, 0.194], [0.008, 0.274, 0.806], [0.718, 0.274, 0.194], [0.282, 0.726, 0.806], [0.188, 0.000, 0.304], [0.357, 0.287, 0.000], [0.500, 0.000, 0.500], [0.772, 0.455, 0.500], [0.228, 0.545, 0.500], [0.643, 0.713, 0.000]]
}


{
  "formula": "AcScNiAu",
  "functional": "PBE",
  "state": "optimized geometry",
  "energy_ev_per_atom": -5.22,
  "rho_g_cm3": 9.379,
  "cell": [[-3.676, 1.817, -3.020], [-4.126, -2.824, -0.971], [-4.506, 1.311, 1.979]],
  "species": ["Ni", "Ac", "Au", "Sc"],
  "frac_coords": [[0.250, 0.250, 0.250], [0.500, 0.500, 0.500], [0.750, 0.750, 0.750], [0.000, 0.000, 0.000]]
}


{
  "formula": "AgSn3F",
  "functional": "PBE",
  "state": "optimized geometry",
  "e_form_raw_kj_per_mol_atoms": 14.0,
  "rho_g_cm3": 5.216,
  "e_above_lowest_polymorph_mev_per_atom": 388,
  "cell": [[5.357, 0.000, 0.000], [0.000, 5.357, 0.000], [0.000, 0.000, 5.357]],
  "species": ["Sn", "Sn", "Sn", "F", "Ag"],
  "frac_coords": [[0.000, 0.500, 0.000], [0.000, 0.000, 0.500], [0.500, 0.000, 0.000], [0.500, 0.500, 0.500], [0.000, 0.000, 0.000]]
}